[1]
First-principles (GGA-PBE) data for an optimized crystal structure of Pr2YAl3Cu2Ni, as listed in OQMD.

Cell lengths 4.135, 7.178, 7.178 Å; angles 121.30, 90.00, 90.00 degrees
Fractional positions:
Ni1 0.000 0.994 0.994
Pr1 0.000 0.414 0.002
Pr2 0.000 0.002 0.414
Al1 0.500 0.993 0.773
Al2 0.500 0.227 0.227
Al3 0.500 0.773 0.993
Y1 0.000 0.589 0.589
Cu1 0.500 0.345 0.664
Cu2 0.500 0.664 0.345

***

[2]
First-principles (GGA-PBE) data for an optimized crystal structure of Hg2SbAu, as listed in OQMD.

Cell lengths 5.088, 5.088, 5.088 Å; angles 60.00, 60.00, 60.00 degrees
Fractional positions:
Hg1 0.000 0.000 0.000
Hg2 0.750 0.750 0.750
Sb1 0.500 0.500 0.500
Au1 0.250 0.250 0.250

***

[3]
First-principles (GGA-PBE) data for an optimized crystal structure of Er3Zr3CuTe2, as listed in OQMD.

Cell lengths 7.897, 7.897, 3.993 Å; angles 90.00, 90.00, 120.00 degrees
Fractional positions:
Te1 0.667 0.333 0.500
Te2 0.333 0.667 0.500
Er1 0.602 0.000 0.000
Er2 0.000 0.602 0.000
Er3 0.398 0.398 0.000
Zr1 0.768 0.768 0.500
Zr2 0.000 0.232 0.500
Zr3 0.232 0.000 0.500
Cu1 0.000 0.000 0.000

Properties
The value obtained for the offset from the most stable computed form is 0.0 meV per atom.

***

[4]
First-principles (GGA-PBE) data for an optimized crystal structure of La3Mg3IrPt2, as listed in OQMD.

Cell lengths 7.544, 7.544, 4.242 Å; angles 90.00, 90.00, 120.00 degrees
Fractional positions:
Mg1 0.765 0.765 0.000
Mg2 0.235 0.000 0.000
Mg3 0.000 0.235 0.000
La1 0.000 0.591 0.500
La2 0.591 0.000 0.500
La3 0.409 0.409 0.500
Pt1 0.667 0.333 0.000
Pt2 0.333 0.667 0.000
Ir1 0.000 0.000 0.500

***

no.,DFT total energy (eV per atom)
1,-4.913
2,-1.790
3,-6.065
4,-5.306